# 1
BiHO3: optimized geometry, GGA-PBE.

Structure (POSCAR):
```
BiHO3
1.0
3.590 0.000 0.000
0.000 3.590 0.000
0.000 0.000 3.590
O H Bi
3 1 1
direct
0.000 0.500 0.000 O
0.000 0.000 0.500 O
0.500 0.000 0.000 O
0.000 0.000 0.000 H
0.500 0.500 0.500 Bi
```

# 2
BiHO3: optimized geometry, GGA-PBE.

Structure (POSCAR):
```
BiHO3
1.0
5.351 0.000 0.000
0.000 6.175 -0.865
0.000 -2.167 8.033
H O Bi
4 12 4
direct
0.394 0.912 0.042 H
0.894 0.088 0.458 H
0.106 0.912 0.542 H
0.606 0.088 0.958 H
0.470 0.982 0.158 O
0.840 0.520 0.369 O
0.970 0.018 0.342 O
0.160 0.480 0.631 O
0.340 0.480 0.131 O
0.660 0.520 0.869 O
0.514 0.887 0.471 O
0.530 0.018 0.842 O
0.486 0.113 0.529 O
0.030 0.982 0.658 O
0.986 0.887 0.971 O
0.014 0.113 0.029 O
0.693 0.690 0.172 Bi
0.193 0.310 0.328 Bi
0.307 0.310 0.828 Bi
0.807 0.690 0.672 Bi
```

# 3
Bi3HO: optimized geometry, GGA-PBE.

- Excess energy over the best structure of this formula in the dataset: 0.0000 eV per atom

Structure (POSCAR):
```
Bi3HO
1.0
4.933 0.000 0.000
0.000 4.933 0.000
0.000 0.000 4.933
Bi H O
3 1 1
direct
0.000 0.500 0.000 Bi
0.500 0.000 0.000 Bi
0.000 0.000 0.500 Bi
0.500 0.500 0.500 H
0.000 0.000 0.000 O
```

# 4
BiH2O: optimized geometry, GGA-PBE.

- Excess energy over the best structure of this formula in the dataset: 0.2701 eV per atom

Structure (POSCAR):
```
BiH2O
1.0
2.973 -2.197 -0.944
1.083 -2.838 2.308
-0.563 -3.626 -1.043
O H Bi
1 2 1
direct
0.000 0.000 0.000 O
0.750 0.750 0.750 H
0.250 0.250 0.250 H
0.500 0.500 0.500 Bi
```

no.,calculated total energy (eV per atom)
1,-4.322
2,-5.211
3,-3.590
4,-3.463